No. 1
A relaxed SrTeIr2 crystal, computed with PBE.

ΔE_f (raw)   527 meV per atom

Cell: 4.913 4.913 4.913 Å, 60.00 60.00 60.00°
Sites, in units of the cell vectors:
Ir: 0.000 0.000 0.000
Ir: 0.250 0.250 0.250
Sr: 0.500 0.500 0.500
Te: 0.750 0.750 0.750


No. 2
A relaxed MgSc2P crystal, computed with PBE.

Energy above the most stable polymorph in this dataset   277 meV/atom
Formation energy   -166 kJ/mol of formula units

Cell: 3.714 3.714 5.806 Å, 90.00 90.00 90.00°
Sites, in units of the cell vectors:
Mg: 0.000 0.000 0.493
P: 0.500 0.500 0.784
Sc: 0.000 0.000 0.968
Sc: 0.500 0.500 0.255